1.
Entry from Alexandria via LeMat-Bulk: PaMnFeO5 after structural relaxation (PBE+U).

```
16
Lattice="3.031 -5.287 0.000 3.031 5.287 0.000 -2.324 0.000 7.483" Properties=species:S:1:pos:R:3 pbc="T T T"
Pa 0.000 0.000 0.000
Pa -1.162 0.000 3.741
Mn 1.288 0.657 5.612
Mn 2.450 -0.657 1.871
Fe 2.450 2.369 1.871
Fe 1.288 -2.369 5.612
O -0.310 1.654 4.999
O 1.288 4.451 5.612
O 1.966 0.761 0.624
O 0.852 -1.654 1.258
O 0.804 -0.761 4.365
O 2.933 0.761 3.118
O 2.885 1.654 6.225
O 1.771 -0.761 6.859
O 2.450 -4.451 1.871
O 4.048 -1.654 2.483
```

Crystal system ... monoclinic
Energy ... -0.5989 Ry/atom
Space group ... C2/c (15)
Magnetic moment ... 16.0 Bohr magnetons per cell

2.
Entry from Alexandria via LeMat-Bulk: PaMn4FeO8 after structural relaxation (PBE+U).

```
14
Lattice="3.140 1.813 5.151 -3.140 1.813 5.151 0.000 -3.626 5.151" Properties=species:S:1:pos:R:3 pbc="T T T"
Pa 0.000 0.000 0.000
Mn -1.516 -0.875 7.180
Mn 0.000 0.000 3.944
Mn 1.516 -0.875 7.180
Mn 0.000 1.750 7.180
Fe 0.000 0.000 9.736
O 0.000 0.000 5.862
O 0.000 -1.766 8.521
O -1.529 0.883 8.521
O -1.458 -0.842 11.047
O 0.000 0.000 13.390
O 1.458 -0.842 11.047
O 0.000 1.684 11.047
O 1.529 0.883 8.521
```

Crystal system ... trigonal
Energy ... -0.5664 Ry/atom
Space group ... R3m (160)
Magnetic moment ... 15.0 Bohr magnetons per cell

3.
Entry from Alexandria via LeMat-Bulk: MnFe2PbO6 after structural relaxation (PBE+U).

```
10
Lattice="5.193 0.000 0.000 2.431 4.745 0.000 0.073 2.944 4.782" Properties=species:S:1:pos:R:3 pbc="T T T"
Mn 0.000 0.000 0.000
Fe 2.547 4.576 2.989
Fe 5.123 3.116 0.432
Pb 2.628 1.472 2.241
O 0.665 1.350 1.321
O 1.784 2.852 3.860
O 3.486 3.296 1.509
O 4.362 4.802 3.907
O 6.174 4.520 1.389
O 6.716 6.197 3.927
```

Crystal system ... triclinic
Energy ... -0.4707 Ry/atom
Space group ... P1 (1)
Magnetic moment ... 10.9 Bohr magnetons per cell

4.
Entry from Alexandria via LeMat-Bulk: MnFePb2O5 after structural relaxation (PBE+U).

```
18
Lattice="1.743 -5.854 0.000 1.743 5.854 0.000 0.000 0.000 13.870" Properties=species:S:1:pos:R:3 pbc="T T T"
Mn 1.743 3.213 6.935
Mn 1.743 -3.213 0.000
Fe 1.743 0.403 12.750
Fe 1.743 -0.403 5.815
Pb 1.743 4.930 1.638
Pb 1.743 3.780 10.572
Pb 1.743 -3.780 3.637
Pb 1.743 -4.930 8.573
O 1.743 5.136 6.717
O 1.743 2.653 1.296
O 1.743 2.383 12.428
O 1.743 1.285 7.084
O 1.743 0.606 4.231
O 1.743 -0.606 11.166
O 1.743 -1.285 0.149
O 1.743 -2.383 5.493
O 1.743 -2.653 8.231
O 1.743 -5.136 13.652
```

Crystal system ... orthorhombic
Energy ... -0.4615 Ry/atom
Space group ... Cmc2_1 (36)
Magnetic moment ... 18.0 Bohr magnetons per cell